(1)
Here is a PBEsol-optimized structure of TlAs2Se from Alexandria. Energies are from meta-GGA SCAN.

a = 3.710 Å, b = 5.110 Å, c = 5.343 Å
α = 90.00°, β = 91.43°, γ = 90.00°
Fractional positions:
As  0.257  0.000  0.152
As  0.743  0.000  0.848
Tl  0.000  0.500  0.500
Se  0.500  0.500  0.000

## Properties
Its crystal system is monoclinic. As for the density of states at the Fermi level: 1.024 states/eV/cell. As for the space group: P2/m. The value obtained for the formation energy from raw total energies is 0.18 eV per formula unit. The raw total energy comes out at -132.64 eV for the cell shown.

***

(2)
Here is a PBEsol-optimized structure of TlAsWSe2 from Alexandria. Energies are from meta-GGA SCAN.

a = 4.889 Å, b = 4.960 Å, c = 4.960 Å
α = 90.00°, β = 90.00°, γ = 90.00°
Fractional positions:
Se  0.000  0.000  0.500
Se  0.000  0.500  0.000
Tl  0.500  0.500  0.500
W  0.000  0.000  0.000
As  0.500  0.000  0.000

## Properties
Its crystal system is tetragonal. As for the density of states at the Fermi level: 2.812 states/eV/cell. As for the space group: P4/mmm. The value obtained for the formation energy from raw total energies is 0.95 eV per formula unit. The raw total energy comes out at -201.44 eV for the cell shown.

***

(3)
Here is a PBEsol-optimized structure of U2AsSe from Alexandria. Energies are from meta-GGA SCAN.

a = 5.644 Å, b = 5.644 Å, c = 6.915 Å
α = 114.08°, β = 114.08°, γ = 90.00°
Site moments in Bohr magnetons follow the coordinates.
Fractional positions:
As  0.750  0.250  0.500  -0.14
Se  0.000  0.000  0.000  -0.09
U  0.250  0.250  0.501  2.45
As  0.500  0.500  0.000  -0.14
Se  0.250  0.750  0.500  -0.09
U  0.750  0.750  0.499  2.45
U  0.500  0.000  0.001  2.45
U  0.000  0.500  0.999  2.45

## Properties
Its crystal system is tetragonal. As for the density of states at the Fermi level: 24.296 states/eV/cell. As for the space group: I4_1/amd. The value obtained for the formation energy from raw total energies is -2.85 eV per formula unit. The raw total energy comes out at -500.36 eV for the cell shown.

***

(4)
Here is a PBEsol-optimized structure of AsW2Se from Alexandria. Energies are from meta-GGA SCAN.

a = 4.521 Å, b = 4.521 Å, c = 4.521 Å
α = 60.00°, β = 60.00°, γ = 60.00°
Fractional positions:
W  0.750  0.750  0.750
As  0.500  0.500  0.500
W  0.000  0.000  0.000
Se  0.250  0.250  0.250

## Properties
Its crystal system is cubic. As for the density of states at the Fermi level: 2.734 states/eV/cell. As for the space group: F-43m. The value obtained for the formation energy from raw total energies is 3.73 eV per formula unit. The raw total energy comes out at -175.91 eV for the cell shown.

***

| no. | M_tot (μB/atom) |
| --- | --- |
| 1 | 0.00 |
| 2 | 0.00 |
| 3 | 1.37 |
| 4 | 0.00 |